This record from the Alexandria database describes a relaxed TbDy4Ag crystal. The functional is PBE.

Cell and atoms, written as CIF:
```
data_TbDy4Ag
_symmetry_space_group_name_H-M 'P 1'
_symmetry_Int_Tables_number 1
_symmetry_space_group_name_Hall 'P 1'
_cell_length_a 5.438
_cell_length_b 6.417
_cell_length_c 10.721
_cell_angle_alpha 90.00
_cell_angle_beta 104.69
_cell_angle_gamma 90.00
loop_
_atom_site_label
_atom_site_fract_x
_atom_site_fract_y
_atom_site_fract_z
_atom_site_occupancy
Dy1 0.535 0.378 0.070 1
Dy2 0.323 0.073 0.646 1
Ag1 0.604 0.969 0.207 1
Tb1 0.135 0.213 0.269 1
Dy3 0.935 0.211 0.869 1
Dy4 0.677 0.573 0.354 1
Dy5 0.256 0.589 0.511 1
Tb2 0.865 0.713 0.731 1
Dy6 0.465 0.878 0.930 1
Ag2 0.396 0.469 0.793 1
Dy7 0.744 0.089 0.489 1
Dy8 0.065 0.711 0.131 1
```

Computed properties:
V	30.2	Å³ per atom
energy	-4.268	eV per atom
spin magnetization	0.00	μB/f.u.